No. 1
Here is a relaxed LaSb2Rh crystal from Alexandria. Energies are from GGA-PBE.

Geometry as CIF:
```
data_LaSb2Rh
_chemical_formula_sum 'La1 Sb2 Rh1'
_space_group_name_H-M_alt 'P 1 m 1'
_space_group_IT_number 6
_cell_length_a 4.902
_cell_length_b 4.343
_cell_length_c 5.286
_cell_angle_alpha 90.00
_cell_angle_beta 105.75
_cell_angle_gamma 90.00
loop_
_space_group_symop_operation_xyz
'x,y,z'
'x,-y,z'
loop_
_atom_site_label
_atom_site_fract_x
_atom_site_fract_y
_atom_site_fract_z
_atom_site_occupancy
La1 0.000 0.000 0.000 1
Sb1 0.306 0.500 0.602 1
Sb2 0.659 0.000 0.414 1
Rh1 0.429 0.500 0.119 1
```

***

No. 2
Here is a relaxed SrIr2Se crystal from Alexandria. Energies are from GGA-PBE.

Geometry as CIF:
```
data_SrIr2Se
_chemical_formula_sum 'Sr1 Ir2 Se1'
_space_group_name_H-M_alt 'P 1 2/m 1'
_space_group_IT_number 10
_cell_length_a 4.702
_cell_length_b 4.042
_cell_length_c 5.191
_cell_angle_alpha 90.00
_cell_angle_beta 93.79
_cell_angle_gamma 90.00
loop_
_space_group_symop_operation_xyz
'x,y,z'
'-x,-y,-z'
'-x,y,-z'
'x,-y,z'
loop_
_atom_site_label
_atom_site_fract_x
_atom_site_fract_y
_atom_site_fract_z
_atom_site_occupancy
Sr1 0.000 0.000 0.000 1
Ir1 0.460 0.500 0.766 1
Se1 0.500 0.000 0.500 1
```

***

No. 3
Here is a relaxed NaTiTe2N crystal from Alexandria. Energies are from GGA-PBE.

Geometry as CIF:
```
data_NaTiTe2N
_chemical_formula_sum 'Na1 Ti1 Te2 N1'
_space_group_name_H-M_alt 'P 4/m m m'
_space_group_IT_number 123
_space_group_name_Hall '-P 4 2'
_cell_length_a 5.548
_cell_length_b 5.548
_cell_length_c 4.139
_cell_angle_alpha 90.00
_cell_angle_beta 90.00
_cell_angle_gamma 90.00
loop_
_atom_site_label
_atom_site_fract_x
_atom_site_fract_y
_atom_site_fract_z
_atom_site_occupancy
Na1 0.000 0.000 0.000 1
Ti1 0.500 0.500 0.500 1
Te1 0.000 0.500 0.000 1
N1 0.000 0.000 0.500 1
```

***

Number 1: formation energy without anion corrections -0.600 eV/atom, calculated volume 27.080 Å³/atom, mass density 7440 kg/m³. Number 2: formation energy without anion corrections -0.101 eV/atom, calculated volume 24.607 Å³/atom, mass density 9296 kg/m³. Number 3: formation energy without anion corrections 1.156 eV/atom, calculated volume 25.483 Å³/atom, mass density 4432 kg/m³.